No. 1
Y2TlIn2 | GGA-PBEsol | relaxed

Cell lengths 4.554, 7.552, 7.552 Å; angles 90.00, 90.00, 90.00 degrees
Positions (direct):
Y: 0.500 0.169 0.669
Y: 0.500 0.669 0.831
Y: 0.500 0.331 0.169
Y: 0.500 0.831 0.331
In: 0.000 0.632 0.132
In: 0.000 0.868 0.632
In: 0.000 0.132 0.368
In: 0.000 0.368 0.868
Tl: 0.000 0.500 0.500
Tl: 0.000 0.000 0.000

Energy of formation (eV per atom): -0.439
Symmetry: P4/mbm (127)
Density (g cm⁻³): 7.82
Crystal system: tetragonal
E (eV/cell): -48.87

***

No. 2
Rb3ZrPb | GGA-PBEsol | relaxed

Cell lengths 6.831, 6.831, 6.831 Å; angles 90.00, 90.00, 90.00 degrees
Positions (direct):
Rb: 0.000 0.000 0.500
Rb: 0.500 0.000 0.000
Rb: 0.000 0.500 0.000
Pb: 0.000 0.000 0.000
Zr: 0.500 0.500 0.500

Energy of formation (eV per atom): 1.182
Symmetry: Pm-3m (221)
Density (g cm⁻³): 2.89
Crystal system: cubic
E (eV/cell): -10.26

***

No. 3
MoPtW2N | GGA-PBEsol | relaxed

Cell lengths 4.712, 4.712, 4.693 Å; angles 90.00, 90.00, 90.00 degrees
Positions (direct):
N: 0.500 0.500 0.500
Mo: 0.000 0.000 0.500
W: 0.000 0.500 0.000
W: 0.500 0.000 0.000
Pt: 0.000 0.000 0.000

Symmetry: P4/mmm (123)
Density (g cm⁻³): 10.72
Crystal system: tetragonal
E (eV/cell): -38.61
Formation energy from raw total energies (eV per formula unit): 16.3

***

No. 4
La3Tl | GGA-PBEsol | relaxed

Cell lengths 3.647, 4.665, 7.237 Å; angles 90.00, 90.00, 90.00 degrees
Positions (direct):
La: 0.000 0.000 0.500
La: 0.500 0.500 0.227
La: 0.500 0.500 0.773
Tl: 0.000 0.000 0.000

Energy of formation (eV per atom): -0.242
Symmetry: Pmmm (47)
Density (g cm⁻³): 8.38
Crystal system: orthorhombic
E (eV/cell): -19.64

***

No. 5
NbCdIr3 | GGA-PBEsol | relaxed

Cell lengths 4.669, 4.669, 4.669 Å; angles 90.00, 90.00, 90.00 degrees
Positions (direct):
Ir: 0.500 0.000 0.000
Ir: 0.000 0.500 0.000
Ir: 0.000 0.000 0.500
Nb: 0.500 0.500 0.500
Cd: 0.000 0.000 0.000

Energy of formation (eV per atom): 2.298
Symmetry: Pm-3m (221)
Density (g cm⁻³): 12.76
Crystal system: cubic
E (eV/cell): -30.00

***

No. 6
BaTaF7 | GGA-PBEsol | relaxed

Cell lengths 9.889, 9.889, 9.889 Å; angles 90.00, 90.00, 90.00 degrees
Positions (direct):
F: 0.400 0.635 0.775
F: 0.900 0.635 0.725
F: 0.553 0.116 0.244
F: 0.600 0.365 0.225
F: 0.244 0.553 0.116
F: 0.116 0.244 0.553
F: 0.164 0.836 0.336
F: 0.553 0.384 0.744
F: 0.256 0.053 0.116
F: 0.725 0.900 0.635
F: 0.225 0.600 0.365
F: 0.616 0.244 0.947
F: 0.725 0.600 0.135
F: 0.447 0.884 0.756
F: 0.836 0.336 0.164
F: 0.336 0.164 0.836
F: 0.865 0.225 0.900
F: 0.275 0.100 0.365
F: 0.275 0.400 0.865
F: 0.256 0.447 0.616
F: 0.900 0.865 0.225
F: 0.947 0.884 0.744
F: 0.336 0.336 0.336
F: 0.865 0.275 0.400
F: 0.756 0.053 0.384
F: 0.884 0.744 0.947
F: 0.053 0.116 0.256
F: 0.635 0.775 0.400
F: 0.836 0.164 0.664
F: 0.664 0.664 0.664
F: 0.225 0.900 0.865
F: 0.164 0.664 0.836
F: 0.775 0.100 0.135
F: 0.365 0.275 0.100
F: 0.635 0.725 0.900
F: 0.947 0.616 0.244
F: 0.100 0.135 0.775
F: 0.244 0.947 0.616
F: 0.447 0.616 0.256
F: 0.365 0.225 0.600
F: 0.775 0.400 0.635
F: 0.664 0.836 0.164
F: 0.135 0.775 0.100
F: 0.116 0.256 0.053
F: 0.744 0.553 0.384
F: 0.100 0.365 0.275
F: 0.600 0.135 0.725
F: 0.616 0.256 0.447
F: 0.135 0.725 0.600
F: 0.053 0.384 0.756
F: 0.384 0.744 0.553
F: 0.884 0.756 0.447
F: 0.756 0.447 0.884
F: 0.744 0.947 0.884
F: 0.384 0.756 0.053
F: 0.400 0.865 0.275
Ba: 0.000 0.500 0.000
Ba: 0.500 0.000 0.500
Ba: 0.500 0.000 0.000
Ba: 0.000 0.500 0.500
Ba: 0.000 0.000 0.000
Ba: 0.500 0.500 0.500
Ba: 0.000 0.000 0.500
Ba: 0.500 0.500 0.000
Ta: 0.223 0.277 0.723
Ta: 0.223 0.223 0.223
Ta: 0.723 0.277 0.777
Ta: 0.277 0.723 0.223
Ta: 0.277 0.777 0.723
Ta: 0.777 0.777 0.777
Ta: 0.777 0.723 0.277
Ta: 0.723 0.223 0.277

Symmetry: Pa-3 (205)
Density (g cm⁻³): 6.20
Crystal system: cubic
E (eV/cell): -481.27
Formation energy from raw total energies (eV per formula unit): -32.0

***

No. 7
K2CuF4 | GGA-PBEsol | relaxed

Cell lengths 3.881, 4.191, 6.577 Å; angles 71.42, 90.00, 90.00 degrees
Positions (direct):
Cu: 0.000 0.000 0.000
F: 0.000 0.500 0.000
F: 0.000 0.158 0.684
F: 0.000 0.842 0.316
F: 0.500 0.000 0.000
K: 0.500 0.646 0.707
K: 0.500 0.354 0.293

Symmetry: Cmmm (65)
Density (g cm⁻³): 3.57
Crystal system: orthorhombic
E (eV/cell): -30.02
Formation energy from raw total energies (eV per formula unit): -15.7

***

No. 8
KIrOs2 | GGA-PBEsol | relaxed

Cell lengths 4.286, 4.586, 4.286 Å; angles 62.14, 90.00, 117.86 degrees
Positions (direct):
K: 0.750 0.500 0.750
Ir: 0.500 0.000 0.500
Os: 0.250 0.500 0.250
Os: 0.000 0.000 0.000

Energy of formation (eV per atom): 1.597
Symmetry: I-4m2 (119)
Density (g cm⁻³): 16.07
Crystal system: tetragonal
E (eV/cell): -29.00

***

No. 9
DySiPt2 | GGA-PBEsol | relaxed

Cell lengths 5.438, 6.904, 7.235 Å; angles 90.00, 90.00, 90.00 degrees
Positions (direct):
Pt: 0.408 0.449 0.681
Pt: 0.592 0.551 0.319
Pt: 0.092 0.051 0.181
Pt: 0.408 0.051 0.681
Pt: 0.908 0.551 0.819
Pt: 0.092 0.449 0.181
Pt: 0.908 0.949 0.819
Pt: 0.592 0.949 0.319
Si: 0.364 0.250 0.381
Si: 0.636 0.750 0.619
Si: 0.136 0.250 0.881
Si: 0.864 0.750 0.119
Dy: 0.866 0.250 0.526
Dy: 0.366 0.750 0.974
Dy: 0.134 0.750 0.474
Dy: 0.634 0.250 0.026

Symmetry: Pnma (62)
Density (g cm⁻³): 14.20
Crystal system: orthorhombic
E (eV/cell): -117.95
Formation energy from raw total energies (eV per formula unit): -4.8

***

No. 10
Mg3ZrRh | GGA-PBEsol | relaxed

Cell lengths 4.762, 4.762, 4.762 Å; angles 90.00, 90.00, 90.00 degrees
Positions (direct):
Mg: 0.500 0.000 0.000
Mg: 0.000 0.000 0.500
Mg: 0.000 0.500 0.000
Zr: 0.500 0.500 0.500
Rh: 0.000 0.000 0.000

Energy of formation (eV per atom): 0.280
Symmetry: Pm-3m (221)
Density (g cm⁻³): 4.11
Crystal system: cubic
E (eV/cell): -20.98

***

No. 11
SrSn2Pb2 | GGA-PBEsol | relaxed

Cell lengths 4.804, 4.804, 7.824 Å; angles 107.88, 107.88, 90.00 degrees
Positions (direct):
Pb: 0.750 0.250 0.500
Pb: 0.250 0.750 0.500
Sn: 0.399 0.399 0.799
Sn: 0.601 0.601 0.201
Sr: 0.000 0.000 0.000

Energy of formation (eV per atom): -0.237
Symmetry: I4/mmm (139)
Density (g cm⁻³): 7.55
Crystal system: tetragonal
E (eV/cell): -19.54

***

No. 12
LiMgAg2 | GGA-PBEsol | relaxed

Cell lengths 3.379, 3.379, 5.928 Å; angles 90.00, 90.00, 90.00 degrees
Positions (direct):
Mg: 0.500 0.500 0.760
Ag: 0.500 0.500 0.264
Ag: 0.000 0.000 0.004
Li: 0.000 0.000 0.472

Energy of formation (eV per atom): -0.149
Symmetry: P4mm (99)
Density (g cm⁻³): 6.06
Crystal system: tetragonal
E (eV/cell): -10.90

***

No. 13
Ta2ReRh | GGA-PBEsol | relaxed

Cell lengths 2.744, 4.334, 5.363 Å; angles 90.00, 99.40, 90.00 degrees
Positions (direct):
Ta: 0.738 0.000 0.754
Ta: 0.262 0.000 0.246
Rh: 0.000 0.500 0.500
Re: 0.500 0.500 0.000

Energy of formation (eV per atom): -0.184
Symmetry: P2/m (10)
Density (g cm⁻³): 17.18
Crystal system: monoclinic
E (eV/cell): -47.31

***

No. 14
In2HgW | GGA-PBEsol | relaxed

Cell lengths 4.044, 4.044, 5.497 Å; angles 111.58, 111.58, 90.00 degrees
Positions (direct):
In: 0.750 0.250 0.500
In: 0.000 0.000 0.000
W: 0.500 0.500 0.000
Hg: 0.250 0.750 0.500

Energy of formation (eV per atom): 0.550
Symmetry: I-4m2 (119)
Density (g cm⁻³): 13.28
Crystal system: tetragonal
E (eV/cell): -18.14

***

No. 15
H3PdF | GGA-PBEsol | relaxed

Cell lengths 3.353, 3.353, 3.353 Å; angles 90.00, 90.00, 90.00 degrees
Positions (direct):
H: 0.000 0.000 0.500
H: 0.500 0.000 0.000
H: 0.000 0.500 0.000
Pd: 0.000 0.000 0.000
F: 0.500 0.500 0.500

Symmetry: Pm-3m (221)
Density (g cm⁻³): 5.66
Crystal system: cubic
E (eV/cell): -17.38

***

No. 16
MnRe2Mo | GGA-PBEsol | relaxed

Cell lengths 2.713, 2.713, 8.895 Å; angles 81.23, 81.23, 60.00 degrees
Positions (direct):
Re: 0.001 0.001 0.996
Re: 0.754 0.754 0.737
Mn: 0.499 0.499 0.504
Mo: 0.246 0.246 0.263

Energy of formation (eV per atom): 0.230
Symmetry: R3m (160)
Density (g cm⁻³): 15.57
Crystal system: trigonal
E (eV/cell): -47.27

***

No. 17
MgAs | GGA-PBEsol | relaxed

Cell lengths 3.047, 3.047, 9.953 Å; angles 90.00, 90.00, 120.00 degrees
Positions (direct):
Mg: 0.333 0.667 0.633
Mg: 0.667 0.333 0.367
As: 0.333 0.667 0.148
As: 0.667 0.333 0.852

Energy of formation (eV per atom): 0.075
Symmetry: P-3m1 (164)
Density (g cm⁻³): 4.12
Crystal system: trigonal
E (eV/cell): -13.35

***

No. 18
TaRh5 | GGA-PBEsol | relaxed

Cell lengths 4.342, 4.729, 4.729 Å; angles 120.00, 90.00, 90.00 degrees
Positions (direct):
Rh: 0.000 0.000 0.657
Rh: 0.500 0.667 0.333
Rh: 0.000 0.343 0.343
Rh: 0.500 0.333 0.667
Rh: 0.000 0.657 0.000
Ta: 0.500 0.000 0.000

Energy of formation (eV per atom): -0.354
Symmetry: P-62m (189)
Density (g cm⁻³): 13.73
Crystal system: hexagonal
E (eV/cell): -55.36

***

No. 19
CrOs2Au | GGA-PBEsol | relaxed

Cell lengths 3.808, 3.810, 4.711 Å; angles 113.85, 113.84, 90.00 degrees
Positions (direct):
Os: 0.000 0.000 0.000
Os: 0.750 0.250 0.500
Au: 0.500 0.500 0.000
Cr: 0.250 0.750 0.500

Energy of formation (eV per atom): 0.398
Symmetry: I-4m2 (119)
Density (g cm⁻³): 18.64
Crystal system: tetragonal
E (eV/cell): -37.01

***

No. 20
AlBH3 | GGA-PBEsol | relaxed

Cell lengths 3.437, 3.437, 3.437 Å; angles 90.00, 90.00, 90.00 degrees
Positions (direct):
Al: 0.000 0.000 0.000
B: 0.500 0.500 0.500
H: 0.000 0.000 0.500
H: 0.500 0.000 0.000
H: 0.000 0.500 0.000

Symmetry: Pm-3m (221)
Density (g cm⁻³): 1.67
Crystal system: cubic
E (eV/cell): -15.92